Entry from the Alexandria database: an optimized crystal structure of SrMgAl2Ge2 (GGA-PBE).

Summary:
Crystal system: trigonal
Energy in Ha/atom: -0.1332
Formation energy in meV/atom: -291

abc: 4.6409 4.6409 7.0593
angles: 90.00 90.00 120.00
Fractional coordinates of all 6 atoms:
Sr (0.0000, 0.0000, 0.0000)
Mg (0.0000, 0.0000, 0.5000)
Al (0.3333, 0.6667, 0.6597)
Al (0.6667, 0.3333, 0.3403)
Ge (0.3333, 0.6667, 0.2801)
Ge (0.6667, 0.3333, 0.7199)


Entry from the Alexandria database: an optimized crystal structure of Mn2AlGe (GGA-PBE).

Summary:
Crystal system: tetragonal
Energy in Ha/atom: -0.2482
Formation energy in meV/atom: -78

abc: 2.9346 2.9346 5.8320
angles: 90.00 90.00 90.00
Fractional coordinates of all 4 atoms:
Mn (0.0000, 0.0000, 0.2355)
Mn (0.0000, 0.0000, 0.7645)
Al (0.5000, 0.5000, 0.5000)
Ge (0.5000, 0.5000, 0.0000)


Entry from the Alexandria database: an optimized crystal structure of MnAlGe (GGA-PBE).

Summary:
Crystal system: tetragonal
Energy in Ha/atom: -0.2222
Formation energy in meV/atom: -203

abc: 3.8870 3.8870 5.9148
angles: 90.00 90.00 90.00
Fractional coordinates of all 6 atoms:
Mn (0.2500, 0.7500, 0.0000)
Mn (0.7500, 0.2500, 0.0000)
Al (0.2500, 0.2500, 0.2945)
Al (0.7500, 0.7500, 0.7055)
Ge (0.2500, 0.2500, 0.7219)
Ge (0.7500, 0.7500, 0.2781)